Below is an optimized crystal structure of K3SnP, with properties calculated at the GGA-PBE level.

```
data_K3SnP
_chemical_formula_sum 'K3 Sn1 P1'
_symmetry_space_group_name_H-M 'P m -3 m'
_symmetry_Int_Tables_number 221
_symmetry_space_group_name_Hall '-P 4 2 3'
_cell_length_a 6.211
_cell_length_b 6.211
_cell_length_c 6.211
_cell_angle_alpha 90.00
_cell_angle_beta 90.00
_cell_angle_gamma 90.00
loop_
_atom_site_label
_atom_site_fract_x
_atom_site_fract_y
_atom_site_fract_z
K1 0.000 0.000 0.500
Sn1 0.500 0.500 0.500
P1 0.000 0.000 0.000
```

Computed properties:
calculated density: 1.850 g/cm³
ΔH_f (0 K): 0.206 eV per atom
energy: -2.335 eV per atom



Below is an optimized crystal structure of KSn2P, with properties calculated at the GGA-PBE level.

```
data_KSn2P
_chemical_formula_sum 'K4 Sn8 P4'
_symmetry_space_group_name_H-M 'I -4 2 d'
_symmetry_Int_Tables_number 122
_symmetry_space_group_name_Hall 'I -4 2bw'
_cell_length_a 5.407
_cell_length_b 5.407
_cell_length_c 18.688
_cell_angle_alpha 90.00
_cell_angle_beta 90.00
_cell_angle_gamma 90.00
loop_
_atom_site_label
_atom_site_fract_x
_atom_site_fract_y
_atom_site_fract_z
K1 0.000 0.000 0.000
Sn1 0.116 0.250 0.625
P1 0.000 0.000 0.500
```

Computed properties:
calculated density: 3.738 g/cm³
ΔH_f (0 K): 0.072 eV per atom
energy: -3.556 eV per atom



Below is an optimized crystal structure of KSn3P, with properties calculated at the GGA-PBE level.

```
data_KSn3P
_chemical_formula_sum 'K1 Sn3 P1'
_symmetry_space_group_name_H-M 'P m -3 m'
_symmetry_Int_Tables_number 221
_symmetry_space_group_name_Hall '-P 4 2 3'
_cell_length_a 5.801
_cell_length_b 5.801
_cell_length_c 5.801
_cell_angle_alpha 90.00
_cell_angle_beta 90.00
_cell_angle_gamma 90.00
loop_
_atom_site_label
_atom_site_fract_x
_atom_site_fract_y
_atom_site_fract_z
K1 0.000 0.000 0.000
Sn1 0.000 0.000 0.500
P1 0.500 0.500 0.500
```

Computed properties:
calculated density: 3.626 g/cm³
ΔH_f (0 K): 1.555 eV per atom
energy: -2.149 eV per atom